# 1
Density functional theory data (PBEsol) for an optimized crystal structure of ScFeOs2.

The space group is Cm (No. 8) and the conventional cell measures 9.783, 2.757 and 4.637 Å, with angles of 90.00, 116.00 and 90.00 degrees. The inequivalent atoms are Sc at (0.000, 0.000, 0.000), Fe at (0.247, 0.000, 0.902), Os at (0.024, 0.500, 0.502) and Os at (0.276, 0.500, 0.399).

The calculated formation energy is 0.182 eV/f.u. The calculation puts the total energy at -9.955 eV per atom. The calculation puts the magnetic moment at 0.03 Bohr magnetons per cell.


# 2
Density functional theory data (PBEsol) for an optimized crystal structure of ScFeOs.

The space group is F-43m (No. 216) and the conventional cell measures 5.936, 5.936 and 5.936 Å, with angles of 90.00, 90.00 and 90.00 degrees. The inequivalent atoms are Sc at (0.000, 0.000, 0.000), Fe at (0.250, 0.250, 0.750) and Os at (0.250, 0.250, 0.250).

The calculated formation energy is 3.343 eV/f.u. The calculation puts the total energy at -8.147 eV per atom. The calculation puts the magnetic moment at 12.90 Bohr magnetons per cell.


# 3
Density functional theory data (PBEsol) for an optimized crystal structure of ScFeOs.

The space group is I4mm (No. 107) and the conventional cell measures 2.761, 2.761 and 11.352 Å, with angles of 90.00, 90.00 and 90.00 degrees. The inequivalent atoms are Sc at (0.000, 0.000, 0.000), Fe at (0.000, 0.000, 0.677) and Os at (0.000, 0.000, 0.305).

The calculated formation energy is -0.151 eV/f.u. The calculation puts the total energy at -9.312 eV per atom. The calculation puts the magnetic moment at 0.01 Bohr magnetons per cell.


# 4
Density functional theory data (PBEsol) for an optimized crystal structure of ScFeOs2.

The space group is F-43m (No. 216) and the conventional cell measures 6.123, 6.123 and 6.123 Å, with angles of 90.00, 90.00 and 90.00 degrees. The inequivalent atoms are Sc at (0.000, 0.000, 0.000), Fe at (0.250, 0.250, 0.750), Os at (0.000, 0.000, 0.500) and Os at (0.250, 0.250, 0.250).

The calculated formation energy is 0.311 eV/f.u. The calculation puts the total energy at -9.922 eV per atom. The calculation puts the magnetic moment at 10.22 Bohr magnetons per cell.


# 5
Density functional theory data (PBEsol) for an optimized crystal structure of ScFeOs2.

The space group is C2/m (No. 12) and the conventional cell measures 10.385, 2.744 and 4.353 Å, with angles of 90.00, 112.43 and 90.00 degrees. The inequivalent atoms are Sc at (0.000, 0.000, 0.000), Fe at (0.000, 0.500, 0.500) and Os at (0.215, 0.000, 0.717).

The calculated formation energy is 0.143 eV/f.u. The calculation puts the total energy at -9.964 eV per atom. The calculation puts the magnetic moment at 1.54 Bohr magnetons per cell.


# 6
Density functional theory data (PBEsol) for an optimized crystal structure of ScFe3Os.

The space group is Pm-3m (No. 221) and the conventional cell measures 4.167, 4.167 and 4.167 Å, with angles of 90.00, 90.00 and 90.00 degrees. The inequivalent atoms are Sc at (0.000, 0.000, 0.000), Fe at (0.000, 0.000, 0.500) and Os at (0.500, 0.500, 0.500).

The calculated formation energy is 9.006 eV/f.u. The calculation puts the total energy at -7.341 eV per atom. The calculation puts the magnetic moment at 6.92 Bohr magnetons per cell.


# 7
Density functional theory data (PBEsol) for an optimized crystal structure of ScFeOs2.

The space group is P4/mmm (No. 123) and the conventional cell measures 4.275, 4.275 and 3.105 Å, with angles of 90.00, 90.00 and 90.00 degrees. The inequivalent atoms are Sc at (0.000, 0.000, 0.000), Fe at (0.500, 0.500, 0.000) and Os at (0.000, 0.500, 0.500).

The calculated formation energy is 0.089 eV/f.u. The calculation puts the total energy at -9.978 eV per atom. The calculation puts the magnetic moment at 2.83 Bohr magnetons per cell.


# 8
Density functional theory data (PBEsol) for an optimized crystal structure of Sc2FeOs.

The space group is F-43m (No. 216) and the conventional cell measures 6.294, 6.294 and 6.294 Å, with angles of 90.00, 90.00 and 90.00 degrees. The inequivalent atoms are Sc at (0.000, 0.000, 0.000), Sc at (0.250, 0.250, 0.250), Fe at (0.000, 0.000, 0.500) and Os at (0.250, 0.250, 0.750).

The calculated formation energy is 0.044 eV/f.u. The calculation puts the total energy at -8.586 eV per atom. The calculation puts the magnetic moment at 8.02 Bohr magnetons per cell.


- Look up the calculated formation energy of the fourth one.
  0.311 eV/f.u.


- What is the calculated formation energy in the seventh record?
  0.089 eV/f.u.


- Look up the calculated formation energy of the second one.
  3.343 eV/f.u.


- The lowest calculated formation energy belongs to which entry?
  number 3